Record 1
# Ta2ReBr (PBE, optimized geometry)
data_Ta2ReBr
_cell_length_a 3.445
_cell_length_b 3.445
_cell_length_c 7.147
_cell_angle_alpha 90.00
_cell_angle_beta 90.00
_cell_angle_gamma 90.00
_symmetry_space_group_name_H-M 'P 4 m m'
_symmetry_Int_Tables_number 99
loop_
_symmetry_equiv_pos_as_xyz
'x,y,z'
'-y,x,z'
'-x,-y,z'
'y,-x,z'
'-x,y,z'
'y,x,z'
'x,-y,z'
'-y,-x,z'
loop_
_atom_site_label
_atom_site_type_symbol
_atom_site_fract_x
_atom_site_fract_y
_atom_site_fract_z
Ta1 Ta 0.000 0.000 0.000
Ta2 Ta 0.500 0.500 0.197
Re1 Re 0.500 0.500 0.844
Br1 Br 0.000 0.000 0.451
# Energy above the most stable polymorph in this dataset, eV/f.u.: 1.13
# Uncorrected formation energy, meV per atom: 461

Record 2
# ScP2Br (PBE, optimized geometry)
data_ScP2Br
_cell_length_a 3.455
_cell_length_b 4.039
_cell_length_c 10.743
_cell_angle_alpha 90.00
_cell_angle_beta 90.00
_cell_angle_gamma 90.00
_symmetry_space_group_name_H-M 'I m m m'
_symmetry_Int_Tables_number 71
_symmetry_space_group_name_Hall '-I 2 2'
loop_
_atom_site_label
_atom_site_type_symbol
_atom_site_fract_x
_atom_site_fract_y
_atom_site_fract_z
Sc1 Sc 0.000 0.000 0.000
P1 P 0.000 0.500 0.266
Br1 Br 0.000 0.000 0.500
# Energy above the most stable polymorph in this dataset, eV/f.u.: 2.32
# Uncorrected formation energy, meV per atom: -258

Record 3
# Ga2RhAu (PBE, optimized geometry)
data_Ga2RhAu
_cell_length_a 5.825
_cell_length_b 5.825
_cell_length_c 11.000
_cell_angle_alpha 90.00
_cell_angle_beta 90.00
_cell_angle_gamma 90.00
_symmetry_space_group_name_H-M 'I -4 2 d'
_symmetry_Int_Tables_number 122
_symmetry_space_group_name_Hall 'I -4 2bw'
loop_
_atom_site_label
_atom_site_type_symbol
_atom_site_fract_x
_atom_site_fract_y
_atom_site_fract_z
Ga1 Ga 0.225 0.250 0.125
Rh1 Rh 0.000 0.000 0.000
Au1 Au 0.000 0.000 0.500
# Energy above the most stable polymorph in this dataset, eV/f.u.: 1.61
# Energy of formation from the pure elements, eV/f.u.: 0.25

Record 4
# Na4SmNp3Se8 (PBE, optimized geometry)
data_Na4SmNp3Se8
_cell_length_a 8.4143
_cell_length_b 8.4143
_cell_length_c 20.9275
_cell_angle_alpha 90.00
_cell_angle_beta 90.00
_cell_angle_gamma 120.00
_symmetry_space_group_name_H-M 'R -3 m'
_symmetry_Int_Tables_number 166
_symmetry_space_group_name_Hall '-R 3 2"'
loop_
_atom_site_label
_atom_site_type_symbol
_atom_site_fract_x
_atom_site_fract_y
_atom_site_fract_z
Na1 Na 0.0000 0.0000 0.0000
Na2 Na 0.0000 0.5000 0.0000
Sm1 Sm 0.0000 0.0000 0.5000
Np1 Np 0.0000 0.5000 0.5000
Se1 Se 0.0000 0.0000 0.2428
Se2 Se 0.0020 0.5010 0.7556
# Uncorrected formation energy, meV per atom: -1320

Record 5
# LiSmBiSe3 (PBE, optimized geometry)
data_LiSmBiSe3
_cell_length_a 8.950
_cell_length_b 3.892
_cell_length_c 9.545
_cell_angle_alpha 90.00
_cell_angle_beta 98.00
_cell_angle_gamma 90.00
_symmetry_space_group_name_H-M 'P 1 21/m 1'
_symmetry_Int_Tables_number 11
loop_
_symmetry_equiv_pos_as_xyz
'x,y,z'
'-x,-y,-z'
'-x,y+1/2,-z'
'x,-y+1/2,z'
loop_
_atom_site_label
_atom_site_type_symbol
_atom_site_fract_x
_atom_site_fract_y
_atom_site_fract_z
Li1 Li 0.089 0.250 0.086
Sm1 Sm 0.289 0.750 0.838
Bi1 Bi 0.320 0.750 0.335
Se1 Se 0.036 0.250 0.808
Se2 Se 0.369 0.250 0.077
Se3 Se 0.370 0.250 0.621
# Uncorrected formation energy, meV per atom: -1051

Record 6
# Ti7AuN2 (PBE, optimized geometry)
data_Ti7AuN2
_cell_length_a 6.921
_cell_length_b 10.894
_cell_length_c 3.987
_cell_angle_alpha 90.00
_cell_angle_beta 90.00
_cell_angle_gamma 90.00
_symmetry_space_group_name_H-M 'C m m m'
_symmetry_Int_Tables_number 65
_symmetry_space_group_name_Hall '-C 2 2'
loop_
_atom_site_label
_atom_site_type_symbol
_atom_site_fract_x
_atom_site_fract_y
_atom_site_fract_z
Ti1 Ti 0.000 0.000 0.000
Ti2 Ti 0.000 0.220 0.500
Ti3 Ti 0.203 0.366 0.000
Au1 Au 0.000 0.500 0.500
N1 N 0.000 0.204 0.000
# Uncorrected formation energy, meV per atom: -533

Record 7
# Sb2Mo (PBE, optimized geometry)
data_Sb2Mo
_cell_length_a 3.291
_cell_length_b 3.291
_cell_length_c 12.726
_cell_angle_alpha 90.00
_cell_angle_beta 90.00
_cell_angle_gamma 90.00
_symmetry_space_group_name_H-M 'I 4/m m m'
_symmetry_Int_Tables_number 139
_symmetry_space_group_name_Hall '-I 4 2'
loop_
_atom_site_label
_atom_site_type_symbol
_atom_site_fract_x
_atom_site_fract_y
_atom_site_fract_z
Sb1 Sb 0.000 0.000 0.132
Mo1 Mo 0.000 0.000 0.500
# Uncorrected formation energy, meV per atom: 171

Record 8
# MgPaSi2O8 (PBE, optimized geometry)
data_MgPaSi2O8
_cell_length_a 6.791
_cell_length_b 6.791
_cell_length_c 6.225
_cell_angle_alpha 90.00
_cell_angle_beta 90.00
_cell_angle_gamma 90.00
_symmetry_space_group_name_H-M 'I -4 m 2'
_symmetry_Int_Tables_number 119
_symmetry_space_group_name_Hall 'I -4 -2'
loop_
_atom_site_label
_atom_site_type_symbol
_atom_site_fract_x
_atom_site_fract_y
_atom_site_fract_z
Mg1 Mg 0.000 0.000 0.000
Pa1 Pa 0.000 0.500 0.750
Si1 Si 0.000 0.000 0.500
Si2 Si 0.000 0.500 0.250
O1 O 0.000 0.186 0.667
O2 O 0.000 0.314 0.080
# Uncorrected formation energy, meV per atom: -2767

Record 9
# Li7In2Sn (PBE, optimized geometry)
data_Li7In2Sn
_cell_length_a 4.6960
_cell_length_b 4.6960
_cell_length_c 10.1109
_cell_angle_alpha 90.00
_cell_angle_beta 90.00
_cell_angle_gamma 120.00
_symmetry_space_group_name_H-M 'P 3 m 1'
_symmetry_Int_Tables_number 156
loop_
_symmetry_equiv_pos_as_xyz
'x,y,z'
'-y,x-y,z'
'-x+y,-x,z'
'-y,-x,z'
'-x+y,y,z'
'x,x-y,z'
loop_
_atom_site_label
_atom_site_type_symbol
_atom_site_fract_x
_atom_site_fract_y
_atom_site_fract_z
Li1 Li 0.0000 0.0000 0.0000
Li2 Li 0.0000 0.0000 0.2377
Li3 Li 0.0000 0.0000 0.4812
Li4 Li 0.3333 0.6667 0.0298
Li5 Li 0.3333 0.6667 0.6612
Li6 Li 0.6667 0.3333 0.5368
Li7 Li 0.6667 0.3333 0.8497
In1 In 0.0000 0.0000 0.7399
In2 In 0.3333 0.6667 0.3567
Sn1 Sn 0.6667 0.3333 0.1510
# Energy above the most stable polymorph in this dataset, eV/f.u.: 0.00
# Energy of formation from the pure elements, eV/f.u.: -1.84

Record 10
# Ca2Pm3Sm2 (PBE, optimized geometry)
data_Ca2Pm3Sm2
_cell_length_a 11.643
_cell_length_b 5.210
_cell_length_c 8.358
_cell_angle_alpha 90.00
_cell_angle_beta 98.39
_cell_angle_gamma 90.00
_symmetry_space_group_name_H-M 'C 1 2/m 1'
_symmetry_Int_Tables_number 12
loop_
_symmetry_equiv_pos_as_xyz
'x,y,z'
'-x,-y,-z'
'-x,y,-z'
'x,-y,z'
'x+1/2,y+1/2,z'
'-x+1/2,-y+1/2,-z'
'-x+1/2,y+1/2,-z'
'x+1/2,-y+1/2,z'
loop_
_atom_site_label
_atom_site_type_symbol
_atom_site_fract_x
_atom_site_fract_y
_atom_site_fract_z
Ca1 Ca 0.143 0.000 0.427
Pm1 Pm 0.000 0.000 0.000
Pm2 Pm 0.070 0.500 0.732
Sm1 Sm 0.216 0.500 0.130
# Energy of formation from the pure elements, eV/f.u.: 0.43

Record 11
# YPaPdAu (PBE, optimized geometry)
data_YPaPdAu
_cell_length_a 7.146
_cell_length_b 7.146
_cell_length_c 7.146
_cell_angle_alpha 90.00
_cell_angle_beta 90.00
_cell_angle_gamma 90.00
_symmetry_space_group_name_H-M 'F -4 3 m'
_symmetry_Int_Tables_number 216
_symmetry_space_group_name_Hall 'F -4 2 3'
loop_
_atom_site_label
_atom_site_type_symbol
_atom_site_fract_x
_atom_site_fract_y
_atom_site_fract_z
Y1 Y 0.000 0.000 0.000
Pa1 Pa 0.000 0.000 0.500
Pd1 Pd 0.250 0.250 0.750
Au1 Au 0.250 0.250 0.250
# Energy of formation from the pure elements, eV/f.u.: -1.91

Record 12
# NpGeOs (PBE, optimized geometry)
data_NpGeOs
_cell_length_a 4.4271
_cell_length_b 4.4271
_cell_length_c 3.2393
_cell_angle_alpha 90.00
_cell_angle_beta 90.00
_cell_angle_gamma 120.00
_symmetry_space_group_name_H-M 'P -6 m 2'
_symmetry_Int_Tables_number 187
_symmetry_space_group_name_Hall 'P -6 2'
loop_
_atom_site_label
_atom_site_type_symbol
_atom_site_fract_x
_atom_site_fract_y
_atom_site_fract_z
Np1 Np 0.0000 0.0000 0.0000
Ge1 Ge 0.6667 0.3333 0.5000
Os1 Os 0.3333 0.6667 0.5000
# Energy of formation from the pure elements, eV/f.u.: -0.27

no.,mass density (Mg/m³),final energy (Ry per atom)
1,12.30,-0.6611
2,4.14,-0.3649
3,7.82,-0.3019
4,6.15,-0.4493
5,6.08,-0.3341
6,6.19,-0.5918
7,8.18,-0.4548
8,5.09,-0.5807
9,3.41,-0.1816
10,5.40,-0.2863
11,11.35,-0.4839
12,15.10,-0.7119